# 1
The following is a PBE calculation of crystalline Cs3CoAu at its relaxed geometry, from the Alexandria database.

a b c (Å): 6.1063 6.1063 6.1063
angles (deg): 90.00 90.00 90.00
Atoms (fractional coordinates):
1 Cs 0.0000 0.0000 0.5000
2 Cs 0.0000 0.5000 0.0000
3 Cs 0.5000 0.0000 0.0000
4 Co 0.0000 0.0000 0.0000
5 Au 0.5000 0.5000 0.5000

Calculated values
* volume: 45.54 A^3/atom
* DFT formation energy: 56 kJ per mole of atoms
* DOS(E_F): 5.0 states/eV/cell

=====

# 2
The following is a PBE calculation of crystalline Re2TcAg at its relaxed geometry, from the Alexandria database.

a b c (Å): 6.2800 6.2800 6.2800
angles (deg): 90.00 90.00 90.00
Atoms (fractional coordinates):
1 Re 0.2500 0.2500 0.2500
2 Re 0.2500 0.2500 0.7500
3 Re 0.2500 0.7500 0.2500
4 Re 0.2500 0.7500 0.7500
5 Re 0.7500 0.2500 0.2500
6 Re 0.7500 0.2500 0.7500
7 Re 0.7500 0.7500 0.2500
8 Re 0.7500 0.7500 0.7500
9 Tc 0.0000 0.0000 0.0000
10 Tc 0.0000 0.5000 0.5000
11 Tc 0.5000 0.0000 0.5000
12 Tc 0.5000 0.5000 0.0000
13 Ag 0.0000 0.0000 0.5000
14 Ag 0.0000 0.5000 0.0000
15 Ag 0.5000 0.0000 0.0000
16 Ag 0.5000 0.5000 0.5000

Calculated values
* offset from the most stable computed form: 525 meV/atom
* volume: 15.48 A^3/atom
* DFT formation energy: 75 kJ per mole of atoms
* DOS(E_F): 21.5 states/eV/cell

=====

# 3
The following is a PBE calculation of crystalline Sr2DyInCl8 at its relaxed geometry, from the Alexandria database.

a b c (Å): 6.5684 9.0808 6.7706
angles (deg): 90.00 90.05 90.00
Atoms (fractional coordinates):
1 Sr 0.0000 0.2503 0.0000
2 Sr 0.0000 0.7497 0.0000
3 Dy 0.5000 0.0000 0.5000
4 In 0.5000 0.5000 0.5000
5 Cl 0.2190 0.5000 0.1461
6 Cl 0.2364 0.0000 0.1896
7 Cl 0.2811 0.2088 0.6685
8 Cl 0.2811 0.7912 0.6685
9 Cl 0.7189 0.2088 0.3315
10 Cl 0.7189 0.7912 0.3315
11 Cl 0.7636 0.0000 0.8104
12 Cl 0.7810 0.5000 0.8539

Calculated values
* E_form (uncorrected): -2117 meV/atom
* volume: 33.65 A^3/atom
* DOS(E_F): 0.0 states/eV/cell

=====

# 4
The following is a PBE calculation of crystalline BaCu2AgCl6 at its relaxed geometry, from the Alexandria database.

a b c (Å): 8.0169 8.0169 8.0169
angles (deg): 51.09 51.09 51.09
Atoms (fractional coordinates):
1 Ba 0.0000 0.0000 0.0000
2 Cu 0.2430 0.2430 0.2430
3 Cu 0.7570 0.7570 0.7570
4 Ag 0.5000 0.5000 0.5000
5 Cl 0.0890 0.4508 0.7264
6 Cl 0.2736 0.9110 0.5491
7 Cl 0.4508 0.7264 0.0890
8 Cl 0.5491 0.2736 0.9110
9 Cl 0.7264 0.0890 0.4508
10 Cl 0.9110 0.5492 0.2736

Calculated values
* E_form (uncorrected): -1051 meV/atom
* volume: 28.79 A^3/atom
* DOS(E_F): 10.6 states/eV/cell

=====

# 5
The following is a PBE calculation of crystalline Sr2CdCu4Sn3 at its relaxed geometry, from the Alexandria database.

a b c (Å): 4.5947 4.5947 10.6705
angles (deg): 90.00 90.00 90.00
Atoms (fractional coordinates):
1 Sr 0.0000 0.5000 0.2391
2 Sr 0.5000 0.0000 0.7609
3 Cd 0.0000 0.0000 0.5000
4 Cu 0.0000 0.0000 0.0000
5 Cu 0.0000 0.5000 0.6319
6 Cu 0.5000 0.0000 0.3681
7 Cu 0.5000 0.5000 0.0000
8 Sn 0.0000 0.5000 0.8748
9 Sn 0.5000 0.0000 0.1252
10 Sn 0.5000 0.5000 0.5000

Calculated values
* volume: 22.53 A^3/atom
* DFT formation energy: -29 kJ per mole of atoms
* DOS(E_F): 4.0 states/eV/cell

=====

# 6
The following is a PBE calculation of crystalline Zr2ScTe at its relaxed geometry, from the Alexandria database.

a b c (Å): 4.3075 4.3075 9.6969
angles (deg): 90.00 90.00 90.00
Atoms (fractional coordinates):
1 Zr 0.0000 0.5000 0.2500
2 Zr 0.0000 0.5000 0.7500
3 Zr 0.5000 0.0000 0.2500
4 Zr 0.5000 0.0000 0.7500
5 Sc 0.0000 0.0000 0.0000
6 Sc 0.5000 0.5000 0.5000
7 Te 0.0000 0.0000 0.5000
8 Te 0.5000 0.5000 0.0000

Calculated values
* E_form (uncorrected): -337 meV/atom
* volume: 22.49 A^3/atom
* DOS(E_F): 7.8 states/eV/cell

=====

# 7
The following is a PBE calculation of crystalline PmZnNi2 at its relaxed geometry, from the Alexandria database.

a b c (Å): 5.2310 4.8154 11.8707
angles (deg): 90.00 90.00 90.00
Atoms (fractional coordinates):
1 Pm 0.2500 0.0000 0.0922
2 Pm 0.2500 0.5000 0.3894
3 Pm 0.7500 0.0000 0.9078
4 Pm 0.7500 0.5000 0.6106
5 Zn 0.2500 0.0000 0.8040
6 Zn 0.2500 0.5000 0.8211
7 Zn 0.7500 0.0000 0.1960
8 Zn 0.7500 0.5000 0.1789
9 Ni 0.0000 0.0000 0.5000
10 Ni 0.0000 0.5000 0.0000
11 Ni 0.2500 0.2548 0.6331
12 Ni 0.2500 0.7452 0.6331
13 Ni 0.5000 0.0000 0.5000
14 Ni 0.5000 0.5000 0.0000
15 Ni 0.7500 0.2548 0.3669
16 Ni 0.7500 0.7452 0.3669

Calculated values
* volume: 18.69 A^3/atom
* DFT formation energy: -12 kJ per mole of atoms
* DOS(E_F): 12.7 states/eV/cell

=====

# 8
The following is a PBE calculation of crystalline Ga3Co3Ge at its relaxed geometry, from the Alexandria database.

a b c (Å): 4.9364 4.9364 4.9364
angles (deg): 109.21 109.21 109.21
Atoms (fractional coordinates):
1 Ga 0.0001 0.4999 0.4999
2 Ga 0.4999 0.0001 0.4999
3 Ga 0.4999 0.4999 0.0001
4 Co 0.0000 0.0000 0.4999
5 Co 0.0000 0.4999 0.0000
6 Co 0.4999 0.0000 0.0000
7 Ge 0.9990 0.9990 0.9990

Calculated values
* volume: 13.36 A^3/atom
* DFT formation energy: -19 kJ per mole of atoms
* DOS(E_F): 4.4 states/eV/cell

=====

# 9
The following is a PBE calculation of crystalline Cd2CoHg at its relaxed geometry, from the Alexandria database.

a b c (Å): 3.0216 3.0216 29.6435
angles (deg): 90.00 90.00 120.00
Atoms (fractional coordinates):
1 Cd 0.0000 0.0000 0.0000
2 Cd 0.0000 0.0000 0.2383
3 Cd 0.3333 0.6667 0.6667
4 Cd 0.3333 0.6667 0.9050
5 Cd 0.6667 0.3333 0.3333
6 Cd 0.6667 0.3333 0.5717
7 Co 0.0000 0.0000 0.7376
8 Co 0.3333 0.6667 0.4043
9 Co 0.6667 0.3333 0.0710
10 Hg 0.0000 0.0000 0.4763
11 Hg 0.3333 0.6667 0.1430
12 Hg 0.6667 0.3333 0.8096

Calculated values
* volume: 19.53 A^3/atom
* DFT formation energy: 30 kJ per mole of atoms
* DOS(E_F): 12.5 states/eV/cell

=====

# 10
The following is a PBE calculation of crystalline Sc2MnTl3Se6 at its relaxed geometry, from the Alexandria database.

a b c (Å): 6.8213 6.8213 7.9589
angles (deg): 98.18 98.18 119.95
Atoms (fractional coordinates):
1 Sc 0.1662 0.8338 0.0000
2 Sc 0.8338 0.1662 0.0000
3 Mn 0.5000 0.5000 0.0000
4 Tl 0.0000 0.0000 0.5000
5 Tl 0.3274 0.6726 0.5000
6 Tl 0.6726 0.3274 0.5000
7 Se 0.1142 0.4372 0.8096
8 Se 0.2416 0.2416 0.1965
9 Se 0.4372 0.1142 0.8096
10 Se 0.5628 0.8858 0.1904
11 Se 0.7584 0.7584 0.8035
12 Se 0.8858 0.5628 0.1904

Calculated values
* E_form (uncorrected): -956 meV/atom
* volume: 25.64 A^3/atom
* DOS(E_F): 4.4 states/eV/cell

=====

# 11
The following is a PBE calculation of crystalline BMoRh at its relaxed geometry, from the Alexandria database.

a b c (Å): 3.5083 13.6087 2.9655
angles (deg): 90.00 90.00 90.00
Atoms (fractional coordinates):
1 B 0.0000 0.0343 0.2500
2 B 0.0000 0.9657 0.7500
3 B 0.5000 0.4657 0.7500
4 B 0.5000 0.5343 0.2500
5 Mo 0.0000 0.4122 0.2500
6 Mo 0.0000 0.5878 0.7500
7 Mo 0.5000 0.0878 0.7500
8 Mo 0.5000 0.9122 0.2500
9 Rh 0.0000 0.1967 0.2500
10 Rh 0.0000 0.8033 0.7500
11 Rh 0.5000 0.3033 0.7500
12 Rh 0.5000 0.6967 0.2500

Calculated values
* volume: 11.80 A^3/atom
* DFT formation energy: -30 kJ per mole of atoms
* DOS(E_F): 8.8 states/eV/cell

=====

# 12
The following is a PBE calculation of crystalline YBSe2 at its relaxed geometry, from the Alexandria database.

a b c (Å): 6.1782 6.1782 8.7782
angles (deg): 90.00 90.00 90.00
Atoms (fractional coordinates):
1 Y 0.0000 0.0000 0.0000
2 Y 0.0000 0.5000 0.2500
3 Y 0.5000 0.0000 0.7500
4 Y 0.5000 0.5000 0.5000
5 B 0.0000 0.0000 0.5000
6 B 0.0000 0.5000 0.7500
7 B 0.5000 0.0000 0.2500
8 B 0.5000 0.5000 0.0000
9 Se 0.1516 0.2500 0.6250
10 Se 0.2500 0.6516 0.8750
11 Se 0.2500 0.8484 0.3750
12 Se 0.3484 0.2500 0.1250
13 Se 0.6516 0.7500 0.1250
14 Se 0.7500 0.1516 0.3750
15 Se 0.7500 0.3484 0.8750
16 Se 0.8484 0.7500 0.6250

Calculated values
* E_form (uncorrected): -234 meV/atom
* volume: 20.94 A^3/atom
* DOS(E_F): 8.9 states/eV/cell

=====

Which value of volume does entry 3 give? 33.65 A^3/atom

=====

Look up the DOS(E_F) of the seventh one. 12.7 states/eV/cell

=====

What did the second record say?
The following is a PBE calculation of crystalline Re2TcAg at its relaxed geometry, from the Alexandria database.

a b c (Å): 6.2800 6.2800 6.2800
angles (deg): 90.00 90.00 90.00
Atoms (fractional coordinates):
1 Re 0.2500 0.2500 0.2500
2 Re 0.2500 0.2500 0.7500
3 Re 0.2500 0.7500 0.2500
4 Re 0.2500 0.7500 0.7500
5 Re 0.7500 0.2500 0.2500
6 Re 0.7500 0.2500 0.7500
7 Re 0.7500 0.7500 0.2500
8 Re 0.7500 0.7500 0.7500
9 Tc 0.0000 0.0000 0.0000
10 Tc 0.0000 0.5000 0.5000
11 Tc 0.5000 0.0000 0.5000
12 Tc 0.5000 0.5000 0.0000
13 Ag 0.0000 0.0000 0.5000
14 Ag 0.0000 0.5000 0.0000
15 Ag 0.5000 0.0000 0.0000
16 Ag 0.5000 0.5000 0.5000

Calculated values
* offset from the most stable computed form: 525 meV/atom
* volume: 15.48 A^3/atom
* DFT formation energy: 75 kJ per mole of atoms
* DOS(E_F): 21.5 states/eV/cell

=====

Look up the DOS(E_F) of the tenth one. 4.4 states/eV/cell